<1>
First-principles (GGA-PBEsol) data for a relaxed structure of SrY2S4, as listed in Alexandria via LeMat-Bulk.

Output
Symmetry: No. 62
M_tot in μB/cell: 0.0

a b c (Å): 3.953 11.779 14.199
angles (deg): 90.00 90.00 90.00
Positions (direct):
Sr 0.750 0.244 0.661
Sr 0.250 0.756 0.339
Sr 0.750 0.744 0.839
Sr 0.250 0.256 0.161
Y 0.750 0.573 0.608
Y 0.250 0.427 0.392
Y 0.750 0.073 0.892
Y 0.250 0.927 0.108
Y 0.750 0.078 0.398
Y 0.250 0.922 0.602
Y 0.750 0.578 0.102
Y 0.250 0.422 0.898
S 0.750 0.366 0.025
S 0.250 0.634 0.975
S 0.750 0.866 0.475
S 0.250 0.134 0.525
S 0.250 0.710 0.677
S 0.750 0.290 0.323
S 0.250 0.210 0.823
S 0.750 0.790 0.177
S 0.250 0.417 0.581
S 0.750 0.583 0.419
S 0.250 0.917 0.919
S 0.750 0.083 0.081
S 0.250 0.019 0.283
S 0.750 0.981 0.717
S 0.250 0.519 0.217
S 0.750 0.481 0.783

=====

<2>
First-principles (GGA-PBEsol) data for a relaxed structure of SrY2S4, as listed in Alexandria via LeMat-Bulk.

Output
Symmetry: No. 122
M_tot in μB/cell: 0.0

a b c (Å): 7.260 7.260 7.260
angles (deg): 109.35 109.35 109.71
Positions (direct):
Sr 0.750 0.250 0.500
Sr 0.500 0.500 0.000
Y 0.625 0.999 0.874
Y 0.249 0.375 0.374
Y 0.125 0.751 0.126
Y 0.001 0.875 0.626
S 0.017 0.264 0.905
S 0.362 0.109 0.595
S 0.736 0.641 0.753
S 0.359 0.112 0.095
S 0.514 0.767 0.405
S 0.891 0.486 0.253
S 0.233 0.638 0.747
S 0.888 0.983 0.247

=====

Stability check: which of them is least stable? <2>.

=====

<1>
First-principles (GGA-PBEsol) data for a relaxed structure of Y2ZnS4, as listed in Alexandria via LeMat-Bulk.

Output
Symmetry: No. 227
M_tot in μB/cell: 0.0

a b c (Å): 7.682 7.682 7.682
angles (deg): 60.00 60.00 60.00
Positions (direct):
Y 0.125 0.125 0.125
Y 0.125 0.125 0.625
Y 0.125 0.625 0.125
Y 0.625 0.125 0.125
Zn 0.750 0.750 0.750
Zn 0.500 0.500 0.500
S 0.876 0.876 0.876
S 0.876 0.876 0.372
S 0.876 0.372 0.876
S 0.372 0.876 0.876
S 0.374 0.374 0.374
S 0.374 0.374 0.878
S 0.374 0.878 0.374
S 0.878 0.374 0.374

=====

<2>
First-principles (GGA-PBEsol) data for a relaxed structure of Y2ZnS4, as listed in Alexandria via LeMat-Bulk.

Output
Symmetry: No. 62
M_tot in μB/cell: 0.0

a b c (Å): 6.242 7.824 13.363
angles (deg): 90.00 90.00 90.00
Positions (direct):
Y 0.000 0.500 0.000
Y 0.500 0.000 0.500
Y 0.000 0.000 0.000
Y 0.500 0.500 0.500
Y 0.994 0.250 0.266
Y 0.506 0.250 0.766
Y 0.006 0.750 0.734
Y 0.494 0.750 0.234
Zn 0.408 0.250 0.092
Zn 0.092 0.250 0.592
Zn 0.592 0.750 0.908
Zn 0.908 0.750 0.408
S 0.772 0.250 0.090
S 0.728 0.250 0.590
S 0.228 0.750 0.910
S 0.272 0.750 0.410
S 0.243 0.250 0.430
S 0.257 0.250 0.930
S 0.757 0.750 0.570
S 0.743 0.750 0.070
S 0.244 0.485 0.169
S 0.256 0.015 0.669
S 0.756 0.985 0.831
S 0.744 0.515 0.331
S 0.756 0.515 0.831
S 0.744 0.985 0.331
S 0.244 0.015 0.169
S 0.256 0.485 0.669

=====

Stability check: which of them is least stable? <1>.

=====

<1>
First-principles (GGA-PBEsol) data for a relaxed structure of Sc5Sb, as listed in Alexandria via LeMat-Bulk.

Output
Symmetry: No. 189
M_tot in μB/cell: 0.0

a b c (Å): 5.018 5.556 5.556
angles (deg): 120.00 90.00 90.00
Positions (direct):
Sc 0.000 0.317 0.317
Sc 0.000 0.683 0.000
Sc 0.000 0.000 0.683
Sc 0.500 0.333 0.667
Sc 0.500 0.667 0.333
Sb 0.500 0.000 0.000

=====

<2>
First-principles (GGA-PBEsol) data for a relaxed structure of Sc5Sb, as listed in Alexandria via LeMat-Bulk.

Output
Symmetry: No. 65
M_tot in μB/cell: 0.5

a b c (Å): 4.421 4.438 7.169
angles (deg): 90.00 107.96 90.00
Last column: magnetic moment on the atom in μB.
Positions (direct):
Sc 0.329 0.500 0.658  0.04
Sc 0.162 0.000 0.323  0.04
Sc 0.000 0.500 0.000  0.17
Sc 0.838 0.000 0.677  0.04
Sc 0.671 0.500 0.342  0.04
Sb 0.500 0.000 0.000  -0.01

=====

Stability check: which of them is least stable? <1>.